1.
VASP calculation (GGA-PBE) on crystalline TaAg at its relaxed geometry.

Output
As for the space-group type: I4/m, No. 87.

abc: 10.592 10.592 2.776
angles: 90.00 90.00 90.00
Atoms (fractional coordinates):
Ta 0.901 0.636 0.500
Ta 0.636 0.099 0.500
Ta 0.136 0.599 0.000
Ta 0.364 0.901 0.500
Ta 0.401 0.136 0.000
Ta 0.599 0.864 0.000
Ta 0.864 0.401 0.000
Ta 0.099 0.364 0.500
Ag 0.660 0.598 0.000
Ag 0.902 0.160 0.500
Ag 0.402 0.660 0.000
Ag 0.840 0.902 0.500
Ag 0.160 0.098 0.500
Ag 0.340 0.402 0.000
Ag 0.598 0.340 0.000
Ag 0.098 0.840 0.500

***

2.
VASP calculation (GGA-PBE) on crystalline TaAg at its relaxed geometry.

Output
As for the space-group type: Imm2, No. 44.

abc: 12.233 2.834 6.842
angles: 90.00 90.00 90.00
Atoms (fractional coordinates):
Ag 0.678 0.000 0.335
Ag 0.500 0.500 0.534
Ag 0.322 0.000 0.335
Ag 0.822 0.500 0.835
Ag 0.000 0.000 0.034
Ag 0.178 0.500 0.835
Ta 0.000 0.000 0.624
Ta 0.383 0.000 0.837
Ta 0.500 0.500 0.124
Ta 0.617 0.000 0.837
Ta 0.883 0.500 0.337
Ta 0.117 0.500 0.337

***

3.
VASP calculation (GGA-PBE) on crystalline Ta2Ag at its relaxed geometry.

Output
As for the space-group type: P4/mmm, No. 123.

abc: 3.883 3.883 4.204
angles: 90.00 90.00 90.00
Atoms (fractional coordinates):
Ag 0.000 0.000 0.000
Ta 0.000 0.500 0.500
Ta 0.500 0.000 0.500

***

4.
VASP calculation (GGA-PBE) on crystalline TaAg at its relaxed geometry.

Output
As for the space-group type: P4_2/mnm, No. 136.

abc: 5.347 5.347 5.585
angles: 90.00 90.00 90.00
Atoms (fractional coordinates):
Ag 0.320 0.320 0.500
Ag 0.680 0.680 0.500
Ag 0.820 0.180 0.000
Ag 0.180 0.820 0.000
Ta 0.325 0.325 0.000
Ta 0.175 0.825 0.500
Ta 0.675 0.675 0.000
Ta 0.825 0.175 0.500

***

| no. | density of states at the Fermi level (states/eV/f.u.) | formation enthalpy at 0 K (eV per atom) |
| --- | --- | --- |
| 1 | 1.39 | 0.46 |
| 2 | 1.20 | 0.54 |
| 3 | 3.63 | 1.05 |
| 4 | 2.53 | 1.10 |